Material: MgMoAs
Method: DFT, PBE
State: optimized geometry

Calculated values
* crystal system: tetragonal
* magnetic moment: 0.00 μB per formula unit
* polymorph energy (0 for the lowest one): 0 kJ/mol of formula units
* ΔE_f: -54 kJ/mol of formula units

Lattice parameters (Å, degrees): 4.1174 4.1174 6.4508 90.00 90.00 90.00
Space group P4/nmm (No. 129, origin choice 2)
Asymmetric unit:
Mg: 0.2500 0.2500 0.1699
Mo: 0.2500 0.7500 0.5000
As: 0.2500 0.2500 0.7518